(1)
# CsLaP2Cl (PBE, relaxed)
data_CsLaP2Cl
_chemical_formula_sum 'Cs1 La1 P2 Cl1'
_space_group_name_H-M_alt 'P 4/m m m'
_space_group_IT_number 123
_space_group_name_Hall '-P 4 2'
_cell_length_a 5.6568
_cell_length_b 5.6568
_cell_length_c 5.8133
_cell_angle_alpha 90.00
_cell_angle_beta 90.00
_cell_angle_gamma 90.00
loop_
_atom_site_label
_atom_site_type_symbol
_atom_site_fract_x
_atom_site_fract_y
_atom_site_fract_z
_atom_site_occupancy
Cs1 Cs 0.0000 0.0000 0.0000 1
La1 La 0.5000 0.5000 0.5000 1
P1 P 0.0000 0.5000 0.5000 1
Cl1 Cl 0.5000 0.5000 0.0000 1
# E   -4.29 eV/atom
# Energy relative to the lowest polymorph listed for this composition   0.00 kcal/mol of atoms

---

(2)
# Cs2LaPbCl6 (PBE, relaxed)
data_Cs2LaPbCl6
_chemical_formula_sum 'Cs4 La2 Pb2 Cl12'
_space_group_name_H-M_alt 'I 4/m m m'
_space_group_IT_number 139
_space_group_name_Hall '-I 4 2'
_cell_length_a 8.0357
_cell_length_b 8.0357
_cell_length_c 12.9259
_cell_angle_alpha 90.00
_cell_angle_beta 90.00
_cell_angle_gamma 90.00
loop_
_atom_site_label
_atom_site_type_symbol
_atom_site_fract_x
_atom_site_fract_y
_atom_site_fract_z
_atom_site_occupancy
Cs1 Cs 0.0000 0.5000 0.2500 1
La1 La 0.0000 0.0000 0.0000 1
Pb1 Pb 0.0000 0.0000 0.5000 1
Cl1 Cl 0.0000 0.0000 0.2142 1
Cl2 Cl 0.2446 0.2446 0.0000 1
# E   -3.94 eV/atom

---

(3)
# CsRb2LaCl6 (PBE, relaxed)
data_CsRb2LaCl6
_chemical_formula_sum 'Cs4 Rb8 La4 Cl24'
_space_group_name_H-M_alt 'F m -3 m'
_space_group_IT_number 225
_space_group_name_Hall '-F 4 2 3'
_cell_length_a 12.1210
_cell_length_b 12.1210
_cell_length_c 12.1210
_cell_angle_alpha 90.00
_cell_angle_beta 90.00
_cell_angle_gamma 90.00
loop_
_atom_site_label
_atom_site_type_symbol
_atom_site_fract_x
_atom_site_fract_y
_atom_site_fract_z
_atom_site_occupancy
Cs1 Cs 0.0000 0.0000 0.0000 1
Rb1 Rb 0.2500 0.2500 0.2500 1
La1 La 0.0000 0.0000 0.5000 1
Cl1 Cl 0.0000 0.0000 0.2709 1
# E   -3.95 eV/atom

---

(4)
# CsLaRe2Cl (PBE, relaxed)
data_CsLaRe2Cl
_chemical_formula_sum 'Cs1 La1 Re2 Cl1'
_space_group_name_H-M_alt 'P 4/m m m'
_space_group_IT_number 123
_space_group_name_Hall '-P 4 2'
_cell_length_a 4.5285
_cell_length_b 4.5285
_cell_length_c 5.7556
_cell_angle_alpha 90.00
_cell_angle_beta 90.00
_cell_angle_gamma 90.00
loop_
_atom_site_label
_atom_site_type_symbol
_atom_site_fract_x
_atom_site_fract_y
_atom_site_fract_z
_atom_site_occupancy
Cs1 Cs 0.0000 0.0000 0.0000 1
La1 La 0.5000 0.5000 0.0000 1
Re1 Re 0.0000 0.5000 0.5000 1
Cl1 Cl 0.0000 0.0000 0.5000 1
# E   -5.08 eV/atom

---

(5)
# Cs2LaRuCl (PBE, relaxed)
data_Cs2LaRuCl
_chemical_formula_sum 'Cs2 La1 Ru1 Cl1'
_space_group_name_H-M_alt 'P 4/m m m'
_space_group_IT_number 123
_space_group_name_Hall '-P 4 2'
_cell_length_a 7.0061
_cell_length_b 7.0061
_cell_length_c 4.8890
_cell_angle_alpha 90.00
_cell_angle_beta 90.00
_cell_angle_gamma 90.00
loop_
_atom_site_label
_atom_site_type_symbol
_atom_site_fract_x
_atom_site_fract_y
_atom_site_fract_z
_atom_site_occupancy
Cs1 Cs 0.0000 0.5000 0.0000 1
La1 La 0.0000 0.0000 0.5000 1
Ru1 Ru 0.0000 0.0000 0.0000 1
Cl1 Cl 0.5000 0.5000 0.5000 1
# E   -3.74 eV/atom

---

(6)
# Cs2LaRuCl6 (PBE, relaxed)
data_Cs2LaRuCl6
_chemical_formula_sum 'Cs4 La2 Ru2 Cl12'
_space_group_name_H-M_alt 'I 4/m m m'
_space_group_IT_number 139
_space_group_name_Hall '-I 4 2'
_cell_length_a 7.3356
_cell_length_b 7.3356
_cell_length_c 11.6047
_cell_angle_alpha 90.00
_cell_angle_beta 90.00
_cell_angle_gamma 90.00
loop_
_atom_site_label
_atom_site_type_symbol
_atom_site_fract_x
_atom_site_fract_y
_atom_site_fract_z
_atom_site_occupancy
Cs1 Cs 0.0000 0.5000 0.2500 1
La1 La 0.0000 0.0000 0.0000 1
Ru1 Ru 0.0000 0.0000 0.5000 1
Cl1 Cl 0.0000 0.0000 0.2402 1
Cl2 Cl 0.2326 0.2326 0.5000 1
# E   -4.26 eV/atom

---

(7)
# CsLaS2Cl (PBE, relaxed)
data_CsLaS2Cl
_chemical_formula_sum 'Cs1 La1 S2 Cl1'
_space_group_name_H-M_alt 'P 4/m m m'
_space_group_IT_number 123
_space_group_name_Hall '-P 4 2'
_cell_length_a 5.5624
_cell_length_b 5.5624
_cell_length_c 5.7747
_cell_angle_alpha 90.00
_cell_angle_beta 90.00
_cell_angle_gamma 90.00
loop_
_atom_site_label
_atom_site_type_symbol
_atom_site_fract_x
_atom_site_fract_y
_atom_site_fract_z
_atom_site_occupancy
Cs1 Cs 0.0000 0.0000 0.0000 1
La1 La 0.5000 0.5000 0.5000 1
S1 S 0.0000 0.5000 0.5000 1
Cl1 Cl 0.5000 0.5000 0.0000 1
# E   -4.76 eV/atom
# Energy relative to the lowest polymorph listed for this composition   0.00 kcal/mol of atoms

---

(8)
# CsLaS2Cl (PBE, relaxed)
data_CsLaS2Cl
_chemical_formula_sum 'Cs1 La1 S2 Cl1'
_space_group_name_H-M_alt 'P 4/m m m'
_space_group_IT_number 123
_space_group_name_Hall '-P 4 2'
_cell_length_a 5.6043
_cell_length_b 5.6043
_cell_length_c 5.7315
_cell_angle_alpha 90.00
_cell_angle_beta 90.00
_cell_angle_gamma 90.00
loop_
_atom_site_label
_atom_site_type_symbol
_atom_site_fract_x
_atom_site_fract_y
_atom_site_fract_z
_atom_site_occupancy
Cs1 Cs 0.0000 0.0000 0.0000 1
La1 La 0.5000 0.5000 0.5000 1
S1 S 0.0000 0.5000 0.0000 1
Cl1 Cl 0.0000 0.0000 0.5000 1
# E   -3.32 eV/atom
# Energy relative to the lowest polymorph listed for this composition   33.05 kcal/mol of atoms

---

(9)
# CsLaSCl2 (PBE, relaxed)
data_CsLaSCl2
_chemical_formula_sum 'Cs1 La1 S1 Cl2'
_space_group_name_H-M_alt 'P 4/m m m'
_space_group_IT_number 123
_space_group_name_Hall '-P 4 2'
_cell_length_a 5.7237
_cell_length_b 5.7237
_cell_length_c 5.5083
_cell_angle_alpha 90.00
_cell_angle_beta 90.00
_cell_angle_gamma 90.00
loop_
_atom_site_label
_atom_site_type_symbol
_atom_site_fract_x
_atom_site_fract_y
_atom_site_fract_z
_atom_site_occupancy
Cs1 Cs 0.0000 0.0000 0.0000 1
La1 La 0.5000 0.5000 0.5000 1
S1 S 0.5000 0.5000 0.0000 1
Cl1 Cl 0.0000 0.5000 0.5000 1
# E   -4.80 eV/atom

---

(10)
# Cs2LaSCl6 (PBE, relaxed)
data_Cs2LaSCl6
_chemical_formula_sum 'Cs4 La2 S2 Cl12'
_space_group_name_H-M_alt 'I 4/m m m'
_space_group_IT_number 139
_space_group_name_Hall '-I 4 2'
_cell_length_a 7.5628
_cell_length_b 7.5628
_cell_length_c 12.9740
_cell_angle_alpha 90.00
_cell_angle_beta 90.00
_cell_angle_gamma 90.00
loop_
_atom_site_label
_atom_site_type_symbol
_atom_site_fract_x
_atom_site_fract_y
_atom_site_fract_z
_atom_site_occupancy
Cs1 Cs 0.0000 0.5000 0.2500 1
La1 La 0.0000 0.0000 0.0000 1
S1 S 0.0000 0.0000 0.5000 1
Cl1 Cl 0.0000 0.0000 0.2129 1
Cl2 Cl 0.2411 0.2411 0.5000 1
# E   -3.72 eV/atom

---

(11)
# Cs2LaSeCl6 (PBE, relaxed)
data_Cs2LaSeCl6
_chemical_formula_sum 'Cs4 La2 Se2 Cl12'
_space_group_name_H-M_alt 'I 4/m m m'
_space_group_IT_number 139
_space_group_name_Hall '-I 4 2'
_cell_length_a 7.7016
_cell_length_b 7.7016
_cell_length_c 13.0748
_cell_angle_alpha 90.00
_cell_angle_beta 90.00
_cell_angle_gamma 90.00
loop_
_atom_site_label
_atom_site_type_symbol
_atom_site_fract_x
_atom_site_fract_y
_atom_site_fract_z
_atom_site_occupancy
Cs1 Cs 0.0000 0.5000 0.2500 1
La1 La 0.0000 0.0000 0.0000 1
Se1 Se 0.0000 0.0000 0.5000 1
Cl1 Cl 0.0000 0.0000 0.2112 1
Cl2 Cl 0.2457 0.2457 0.5000 1
# E   -3.72 eV/atom

---

(12)
# Cs2LaSiCl6 (PBE, relaxed)
data_Cs2LaSiCl6
_chemical_formula_sum 'Cs4 La2 Si2 Cl12'
_space_group_name_H-M_alt 'I 4/m m m'
_space_group_IT_number 139
_space_group_name_Hall '-I 4 2'
_cell_length_a 7.6499
_cell_length_b 7.6499
_cell_length_c 12.8942
_cell_angle_alpha 90.00
_cell_angle_beta 90.00
_cell_angle_gamma 90.00
loop_
_atom_site_label
_atom_site_type_symbol
_atom_site_fract_x
_atom_site_fract_y
_atom_site_fract_z
_atom_site_occupancy
Cs1 Cs 0.0000 0.5000 0.2500 1
La1 La 0.0000 0.0000 0.0000 1
Si1 Si 0.0000 0.0000 0.5000 1
Cl1 Cl 0.0000 0.0000 0.2147 1
Cl2 Cl 0.2428 0.2428 0.5000 1
# E   -3.96 eV/atom

---

(13)
# CsLaSn2Cl8 (PBE, relaxed)
data_CsLaSn2Cl8
_chemical_formula_sum 'Cs1 La1 Sn2 Cl8'
_space_group_name_H-M_alt 'P -1'
_space_group_IT_number 2
_cell_length_a 6.5736
_cell_length_b 7.0439
_cell_length_c 9.7381
_cell_angle_alpha 84.74
_cell_angle_beta 86.88
_cell_angle_gamma 87.16
loop_
_space_group_symop_operation_xyz
'x,y,z'
'-x,-y,-z'
loop_
_atom_site_label
_atom_site_type_symbol
_atom_site_fract_x
_atom_site_fract_y
_atom_site_fract_z
_atom_site_occupancy
Cs1 Cs 0.0000 0.0000 0.0000 1
La1 La 0.0000 0.0000 0.5000 1
Sn1 Sn 0.4863 0.4842 0.2556 1
Cl1 Cl 0.2280 0.8213 0.2963 1
Cl2 Cl 0.2482 0.3249 0.4591 1
Cl3 Cl 0.2617 0.8589 0.7064 1
Cl4 Cl 0.2711 0.3869 0.0699 1
# E   -4.00 eV/atom

---

(14)
# Cs2SrLaCl6 (PBE, relaxed)
data_Cs2SrLaCl6
_chemical_formula_sum 'Cs4 Sr2 La2 Cl12'
_space_group_name_H-M_alt 'P m m n'
_space_group_IT_number 59
_cell_length_a 8.0004
_cell_length_b 11.4655
_cell_length_c 8.2124
_cell_angle_alpha 90.00
_cell_angle_beta 90.00
_cell_angle_gamma 90.00
loop_
_space_group_symop_operation_xyz
'x,y,z'
'-x,-y,-z'
'-x+1/2,-y+1/2,z'
'x+1/2,y+1/2,-z'
'x+1/2,-y,-z'
'-x+1/2,y,z'
'-x,y+1/2,-z'
'x,-y+1/2,z'
loop_
_atom_site_label
_atom_site_type_symbol
_atom_site_fract_x
_atom_site_fract_y
_atom_site_fract_z
_atom_site_occupancy
Cs1 Cs 0.2500 0.0018 0.2434 1
Sr1 Sr 0.2500 0.2500 0.7448 1
La1 La 0.2500 0.7500 0.7548 1
Cl1 Cl 0.9998 0.2500 0.4939 1
Cl2 Cl 0.0034 0.7500 0.0068 1
Cl3 Cl 0.2500 0.5007 0.7543 1
# E   -4.05 eV/atom

---

(15)
# Cs2LaTcCl6 (PBE, relaxed)
data_Cs2LaTcCl6
_chemical_formula_sum 'Cs8 La4 Tc4 Cl24'
_space_group_name_H-M_alt 'F m -3 m'
_space_group_IT_number 225
_space_group_name_Hall '-F 4 2 3'
_cell_length_a 10.5371
_cell_length_b 10.5371
_cell_length_c 10.5371
_cell_angle_alpha 90.00
_cell_angle_beta 90.00
_cell_angle_gamma 90.00
loop_
_atom_site_label
_atom_site_type_symbol
_atom_site_fract_x
_atom_site_fract_y
_atom_site_fract_z
_atom_site_occupancy
Cs1 Cs 0.2500 0.2500 0.2500 1
La1 La 0.0000 0.0000 0.0000 1
Tc1 Tc 0.0000 0.0000 0.5000 1
Cl1 Cl 0.0000 0.0000 0.2648 1
# E   -4.35 eV/atom

---

(16)
# Cs2LaTiCl6 (PBE, relaxed)
data_Cs2LaTiCl6
_chemical_formula_sum 'Cs8 La4 Ti4 Cl24'
_space_group_name_H-M_alt 'F m -3 m'
_space_group_IT_number 225
_space_group_name_Hall '-F 4 2 3'
_cell_length_a 10.7787
_cell_length_b 10.7787
_cell_length_c 10.7787
_cell_angle_alpha 90.00
_cell_angle_beta 90.00
_cell_angle_gamma 90.00
loop_
_atom_site_label
_atom_site_type_symbol
_atom_site_fract_x
_atom_site_fract_y
_atom_site_fract_z
_atom_site_occupancy
Cs1 Cs 0.2500 0.2500 0.2500 1
La1 La 0.0000 0.0000 0.0000 1
Ti1 Ti 0.0000 0.0000 0.5000 1
Cl1 Cl 0.0000 0.0000 0.2607 1
# E   -4.42 eV/atom

---

(17)
# CsLaTl2Cl6 (PBE, relaxed)
data_CsLaTl2Cl6
_chemical_formula_sum 'Cs3 La3 Tl6 Cl18'
_space_group_name_H-M_alt 'R 3'
_space_group_IT_number 146
_space_group_name_Hall 'R 3'
_cell_length_a 8.0844
_cell_length_b 8.0844
_cell_length_c 21.0266
_cell_angle_alpha 90.00
_cell_angle_beta 90.00
_cell_angle_gamma 120.00
loop_
_atom_site_label
_atom_site_type_symbol
_atom_site_fract_x
_atom_site_fract_y
_atom_site_fract_z
_atom_site_occupancy
Cs1 Cs 0.0000 0.0000 0.0000 1
La1 La 0.0000 0.0000 0.4859 1
Tl1 Tl 0.0000 0.0000 0.2823 1
Tl2 Tl 0.0000 0.0000 0.7931 1
Cl1 Cl 0.0220 0.2757 0.3985 1
Cl2 Cl 0.0217 0.6387 0.2198 1
# E   -3.94 eV/atom

---

(18)
# Cs2LaWCl6 (PBE, relaxed)
data_Cs2LaWCl6
_chemical_formula_sum 'Cs8 La4 W4 Cl24'
_space_group_name_H-M_alt 'F m -3 m'
_space_group_IT_number 225
_space_group_name_Hall '-F 4 2 3'
_cell_length_a 10.5709
_cell_length_b 10.5709
_cell_length_c 10.5709
_cell_angle_alpha 90.00
_cell_angle_beta 90.00
_cell_angle_gamma 90.00
loop_
_atom_site_label
_atom_site_type_symbol
_atom_site_fract_x
_atom_site_fract_y
_atom_site_fract_z
_atom_site_occupancy
Cs1 Cs 0.2500 0.2500 0.2500 1
La1 La 0.0000 0.0000 0.0000 1
W1 W 0.0000 0.0000 0.5000 1
Cl1 Cl 0.0000 0.0000 0.2658 1
# E   -4.44 eV/atom

---

(19)
# Cs2LaZnCl6 (PBE, relaxed)
data_Cs2LaZnCl6
_chemical_formula_sum 'Cs8 La4 Zn4 Cl24'
_space_group_name_H-M_alt 'F m -3 m'
_space_group_IT_number 225
_space_group_name_Hall '-F 4 2 3'
_cell_length_a 11.1606
_cell_length_b 11.1606
_cell_length_c 11.1606
_cell_angle_alpha 90.00
_cell_angle_beta 90.00
_cell_angle_gamma 90.00
loop_
_atom_site_label
_atom_site_type_symbol
_atom_site_fract_x
_atom_site_fract_y
_atom_site_fract_z
_atom_site_occupancy
Cs1 Cs 0.2500 0.2500 0.2500 1
La1 La 0.0000 0.0000 0.0000 1
Zn1 Zn 0.0000 0.0000 0.5000 1
Cl1 Cl 0.0000 0.0000 0.2495 1
# E   -3.70 eV/atom

---

(20)
# CsLiCl2 (PBE, relaxed)
data_CsLiCl2
_chemical_formula_sum 'Cs8 Li8 Cl16'
_space_group_name_H-M_alt 'C 1 2/c 1'
_space_group_IT_number 15
_cell_length_a 7.3882
_cell_length_b 13.9823
_cell_length_c 9.8454
_cell_angle_alpha 90.00
_cell_angle_beta 97.70
_cell_angle_gamma 90.00
loop_
_space_group_symop_operation_xyz
'x,y,z'
'-x,-y,-z'
'-x,y,-z+1/2'
'x,-y,z+1/2'
'x+1/2,y+1/2,z'
'-x+1/2,-y+1/2,-z'
'-x+1/2,y+1/2,-z+1/2'
'x+1/2,-y+1/2,z+1/2'
loop_
_atom_site_label
_atom_site_type_symbol
_atom_site_fract_x
_atom_site_fract_y
_atom_site_fract_z
_atom_site_occupancy
Cs1 Cs 0.2272 0.0940 0.4377 1
Li1 Li 0.2412 0.1996 0.8645 1
Cl1 Cl 0.0000 0.1065 0.7500 1
Cl2 Cl 0.0000 0.3055 0.2500 1
Cl3 Cl 0.1978 0.3656 0.9110 1
# E   -3.52 eV/atom